Below is Cu2SiNi after structural relaxation, with properties calculated at the PBE level.

Calculated values
uncorrected formation energy = -101 meV/atom
symmetry = C2/m
total energy = -19.80 eV/f.u.
size of the total moment = 0.000 μB/f.u.
calculated volume = 47 Å³/cell

a = 4.995 Å, b = 4.995 Å, c = 2.575 Å
α = 75.75°, β = 75.75°, γ = 121.68°
Fractional positions:
Cu  0.000  0.000  0.000
Cu  0.500  0.500  0.000
Ni  0.500  0.000  0.500
Si  0.000  0.500  0.500


Below is Te2MoBr after structural relaxation, with properties calculated at the PBE level.

Calculated values
uncorrected formation energy = 248 meV/atom
symmetry = Immm
total energy = -17.80 eV/f.u.
size of the total moment = 0.897 μB/f.u.
calculated volume = 109 Å³/cell

a = 7.081 Å, b = 7.081 Å, c = 7.081 Å
α = 153.41°, β = 136.54°, γ = 51.68°
Last column: magnetic moment on the atom in μB.
Fractional positions:
Mo  0.750  0.250  0.500  0.97
Te  0.922  0.922  0.000  -0.06
Te  0.578  0.578  0.000  -0.06
Br  0.250  0.750  0.500  -0.06


Below is Tb6PrHo4 after structural relaxation, with properties calculated at the PBE level.

Calculated values
formation energy from the elements = 0.421 eV/atom
symmetry = I-42m
total energy = -46.24 eV/f.u.
size of the total moment = 0.000 μB/f.u.
calculated volume = 380 Å³/cell

a = 7.609 Å, b = 7.609 Å, c = 8.493 Å
α = 116.61°, β = 116.61°, γ = 90.00°
Fractional positions:
Tb  0.929  0.446  0.374
Tb  0.446  0.929  0.374
Tb  0.554  0.554  0.626
Tb  0.000  0.500  0.000
Tb  0.071  0.071  0.626
Tb  0.500  0.000  0.000
Pr  0.500  0.500  0.000
Ho  0.085  0.759  0.844
Ho  0.915  0.915  0.156
Ho  0.759  0.085  0.844
Ho  0.241  0.241  0.156


Copy entry 3 word for word.
Below is Tb6PrHo4 after structural relaxation, with properties calculated at the PBE level.

Calculated values
formation energy from the elements = 0.421 eV/atom
symmetry = I-42m
total energy = -46.24 eV/f.u.
size of the total moment = 0.000 μB/f.u.
calculated volume = 380 Å³/cell

a = 7.609 Å, b = 7.609 Å, c = 8.493 Å
α = 116.61°, β = 116.61°, γ = 90.00°
Fractional positions:
Tb  0.929  0.446  0.374
Tb  0.446  0.929  0.374
Tb  0.554  0.554  0.626
Tb  0.000  0.500  0.000
Tb  0.071  0.071  0.626
Tb  0.500  0.000  0.000
Pr  0.500  0.500  0.000
Ho  0.085  0.759  0.844
Ho  0.915  0.915  0.156
Ho  0.759  0.085  0.844
Ho  0.241  0.241  0.156